# LiPaMoO6, optimized geometry, DFT PBE+U
data_LiPaMoO6
_space_group_name_H-M_alt 'P -3 1 c'
_space_group_IT_number 163
_space_group_name_Hall '-P 3 2c'
_cell_length_a 5.5662
_cell_length_b 5.5662
_cell_length_c 9.3047
_cell_angle_alpha 90.00
_cell_angle_beta 90.00
_cell_angle_gamma 120.00
loop_
_atom_site_label
_atom_site_type_symbol
_atom_site_fract_x
_atom_site_fract_y
_atom_site_fract_z
Li1 Li 0.0000 0.0000 0.0000
Pa1 Pa 0.3333 0.6667 0.2500
Mo1 Mo 0.3333 0.6667 0.7500
O1 O 0.0303 0.3796 0.6369
# Size of the total moment, μB per formula unit: 0.00
# Crystal system: trigonal
# Raw total energy, eV per atom: -7.727
# Volume, Å³/f.u.: 124.8